Entry from Alexandria via LeMat-Bulk: a relaxed MnSbI2O crystal (PBE+U).

Cell: 5.2364 5.2364 4.6484 Å, 90.00 90.00 90.00°
Closest atoms and distances in Å follow each position.
Atoms (fractional coordinates):
Mn 0.0000 0.0000 0.0000  8 I 3.50, 4 Sb 3.70
Sb 0.5000 0.5000 0.0000  2 O 2.32
I 0.0000 0.5000 0.5000  2 O 2.62
I 0.5000 0.0000 0.5000  2 O 2.62
O 0.5000 0.5000 0.5000  2 Sb 2.32

- Magnetic moment: 5.017 μB/f.u.
- SG: P4/mmm, No. 123
- E_tot: -3.594 eV per atom